No. 1
Material: Nd3Dy3Ho2
Method: DFT, PBE-GGA
State: optimized geometry Values from VASP.

Values from the calculation:
energy	-4.574	eV/atom
SG	C2/m, No. 12

Cell and atoms, written as Quantum ESPRESSO input:
```
&SYSTEM
  ibrav = 0, nat = 8, ntyp = 3
/
ATOMIC_SPECIES
Nd 144.24 Nd.upf
Dy 162.50 Dy.upf
Ho 164.93 Ho.upf
ATOMIC_POSITIONS crystal
Nd 0.8649 0.3029 0.7299
Nd 0.1351 0.6971 0.2701
Nd 0.0000 0.0000 0.0000
Dy 0.3673 0.9193 0.7345
Dy 0.5000 0.5000 0.0000
Dy 0.6327 0.0807 0.2655
Ho 0.7500 0.6818 0.5001
Ho 0.2500 0.3182 0.4999
CELL_PARAMETERS angstrom
-1.2632 2.1367 -5.1739
-5.0832 -3.2284 -0.0922
-0.6916 6.2710 5.9410
```

---

No. 2
Material: LaPr2Os
Method: DFT, PBE-GGA
State: optimized geometry Values from VASP.

Values from the calculation:
energy	-6.540	eV/atom
SG	Pnma, No. 62

Cell and atoms, written as Quantum ESPRESSO input:
```
&SYSTEM
  ibrav = 0, nat = 16, ntyp = 3
/
ATOMIC_SPECIES
La 138.91 La.upf
Pr 140.91 Pr.upf
Os 190.23 Os.upf
ATOMIC_POSITIONS crystal
La 0.6472 0.5525 0.2500
La 0.8528 0.0525 0.2500
La 0.3528 0.4475 0.7500
La 0.1472 0.9475 0.7500
Pr 0.1729 0.6708 0.0679
Pr 0.3271 0.1708 0.4321
Pr 0.8271 0.3292 0.5679
Pr 0.6729 0.8292 0.9321
Pr 0.8271 0.3292 0.9321
Pr 0.6729 0.8292 0.5679
Pr 0.1729 0.6708 0.4321
Pr 0.3271 0.1708 0.0679
Os 0.0421 0.3815 0.2500
Os 0.4579 0.8815 0.2500
Os 0.9579 0.6185 0.7500
Os 0.5421 0.1185 0.7500
CELL_PARAMETERS angstrom
-3.7457 -2.0782 5.0543
-0.9065 -6.5941 -3.3831
8.0992 -3.4624 4.5785
```

---

No. 3
Material: Y2TePt2
Method: DFT, PBE-GGA
State: optimized geometry Values from VASP.

Values from the calculation:
SG	P4/mbm, No. 127
formation energy without anion corrections	-1.17	eV per atom

Cell and atoms, written as Quantum ESPRESSO input:
```
&SYSTEM
  ibrav = 0, nat = 10, ntyp = 3
/
ATOMIC_SPECIES
Y 88.91 Y.upf
Te 127.60 Te.upf
Pt 195.08 Pt.upf
ATOMIC_POSITIONS crystal
Y 0.1707 0.6707 0.5000
Y 0.6707 0.8293 0.5000
Y 0.8293 0.3293 0.5000
Y 0.3293 0.1707 0.5000
Te 0.0000 0.0000 0.0000
Te 0.5000 0.5000 0.0000
Pt 0.3745 0.8745 0.0000
Pt 0.8745 0.6255 0.0000
Pt 0.6255 0.1255 0.0000
Pt 0.1255 0.3745 0.0000
CELL_PARAMETERS angstrom
7.7910 0.0000 0.0000
0.0000 7.7910 0.0000
0.0000 0.0000 3.7667
```

---

No. 4
Material: PuU2Se5
Method: DFT, PBE-GGA
State: optimized geometry Values from VASP.

Values from the calculation:
SG	Pbam, No. 55
formation energy without anion corrections	-1.20	eV per atom

Cell and atoms, written as Quantum ESPRESSO input:
```
&SYSTEM
  ibrav = 0, nat = 16, ntyp = 3
/
ATOMIC_SPECIES
Pu 244.00 Pu.upf
U 238.03 U.upf
Se 78.96 Se.upf
ATOMIC_POSITIONS crystal
Pu 0.0000 0.5000 0.5000
Pu 0.0000 0.0000 0.0000
U 0.5000 0.5267 0.1777
U 0.5000 0.4733 0.8223
U 0.5000 0.9733 0.6777
U 0.5000 0.0267 0.3223
Se 0.0000 0.0000 0.5000
Se 0.0000 0.5000 0.0000
Se 0.0000 0.8181 0.1999
Se 0.0000 0.1819 0.8001
Se 0.0000 0.6819 0.6999
Se 0.0000 0.3181 0.3001
Se 0.5000 0.6734 0.3913
Se 0.5000 0.3266 0.6087
Se 0.5000 0.8266 0.8913
Se 0.5000 0.1734 0.1087
CELL_PARAMETERS angstrom
-1.4473 -3.6930 0.8565
-0.1371 -1.7260 -7.6738
11.6716 -4.3933 0.7797
```

---

No. 5
Material: PmTeAs
Method: DFT, PBE-GGA
State: optimized geometry Values from VASP.

Values from the calculation:
SG	I4mm, No. 107
formation energy without anion corrections	-0.92	eV per atom

Cell and atoms, written as Quantum ESPRESSO input:
```
&SYSTEM
  ibrav = 0, nat = 3, ntyp = 3
/
ATOMIC_SPECIES
As 74.92 As.upf
Te 127.60 Te.upf
Pm 145.00 Pm.upf
ATOMIC_POSITIONS crystal
As 0.2833 0.2833 0.5666
Te 0.0240 0.0240 0.0480
Pm 0.6927 0.6927 0.3855
CELL_PARAMETERS angstrom
4.0570 0.0000 0.0000
0.0000 4.0570 0.0000
-2.0285 -2.0285 5.2274
```

---

No. 6
Material: BeSiI2N
Method: DFT, PBE-GGA
State: optimized geometry Values from VASP.

Values from the calculation:
SG	P4/mmm, No. 123
formation energy without anion corrections	0.69	eV per atom

Cell and atoms, written as Quantum ESPRESSO input:
```
&SYSTEM
  ibrav = 0, nat = 5, ntyp = 4
/
ATOMIC_SPECIES
I 126.90 I.upf
Be 9.01 Be.upf
Si 28.09 Si.upf
N 14.01 N.upf
ATOMIC_POSITIONS crystal
I 0.0000 0.5000 0.0000
I 0.5000 0.0000 0.0000
Be 0.5000 0.5000 0.5000
Si 0.0000 0.0000 0.0000
N 0.0000 0.0000 0.5000
CELL_PARAMETERS angstrom
-1.9116 2.3140 4.8101
4.3054 -2.3517 2.8423
1.8719 2.7356 -0.5721
```

---

No. 7
Material: AgBr
Method: DFT, PBE-GGA
State: optimized geometry Values from VASP.

Values from the calculation:
SG	Fddd, No. 70
formation energy without anion corrections	-0.28	eV per atom

Cell and atoms, written as Quantum ESPRESSO input:
```
&SYSTEM
  ibrav = 0, nat = 32, ntyp = 2
/
ATOMIC_SPECIES
Ag 107.87 Ag.upf
Br 79.90 Br.upf
ATOMIC_POSITIONS crystal
Ag 0.0000 0.6192 0.0000
Ag 0.0000 0.3808 0.0000
Ag 0.2500 0.1308 0.2500
Ag 0.2500 0.3692 0.2500
Ag 0.0000 0.1192 0.5000
Ag 0.0000 0.8808 0.5000
Ag 0.2500 0.6308 0.7500
Ag 0.2500 0.8692 0.7500
Ag 0.5000 0.6192 0.5000
Ag 0.5000 0.3808 0.5000
Ag 0.7500 0.1308 0.7500
Ag 0.7500 0.3692 0.7500
Ag 0.5000 0.1192 0.0000
Ag 0.5000 0.8808 0.0000
Ag 0.7500 0.6308 0.2500
Ag 0.7500 0.8692 0.2500
Br 0.2359 0.0000 0.0000
Br 0.7641 0.0000 0.0000
Br 0.0141 0.7500 0.2500
Br 0.4859 0.7500 0.2500
Br 0.2359 0.5000 0.5000
Br 0.7641 0.5000 0.5000
Br 0.0141 0.2500 0.7500
Br 0.4859 0.2500 0.7500
Br 0.7359 0.0000 0.5000
Br 0.2641 0.0000 0.5000
Br 0.5141 0.7500 0.7500
Br 0.9859 0.7500 0.7500
Br 0.7359 0.5000 0.0000
Br 0.2641 0.5000 0.0000
Br 0.5141 0.2500 0.2500
Br 0.9859 0.2500 0.2500
CELL_PARAMETERS angstrom
8.6536 0.0000 0.0000
0.0000 12.8920 0.0000
0.0000 0.0000 8.8635
```

---

No. 8
Material: TcSnSbBrF
Method: DFT, PBE-GGA
State: optimized geometry Values from VASP.

Values from the calculation:
SG	P1, No. 1
formation energy without anion corrections	-0.31	eV per atom

Cell and atoms, written as Quantum ESPRESSO input:
```
&SYSTEM
  ibrav = 0, nat = 5, ntyp = 5
/
ATOMIC_SPECIES
Sb 121.76 Sb.upf
F 19.00 F.upf
Sn 118.71 Sn.upf
Br 79.90 Br.upf
Tc 98.00 Tc.upf
ATOMIC_POSITIONS crystal
Sb 0.6806 0.6814 0.9093
F 0.6770 0.0627 0.3132
Sn 0.0602 0.1614 0.7145
Br 0.2004 0.5504 0.2979
Tc 0.6334 0.2414 0.0840
CELL_PARAMETERS angstrom
-1.1893 -1.2641 -2.8669
0.4571 -4.4506 1.9870
-6.3139 2.2894 2.4839
```

---

No. 9
Material: TcSnPd
Method: DFT, PBE-GGA
State: optimized geometry Values from VASP.

Values from the calculation:
energy	-6.336	eV/atom
SG	P-6m2, No. 187

Cell and atoms, written as Quantum ESPRESSO input:
```
&SYSTEM
  ibrav = 0, nat = 6, ntyp = 3
/
ATOMIC_SPECIES
Tc 98.00 Tc.upf
Pd 106.42 Pd.upf
Sn 118.71 Sn.upf
ATOMIC_POSITIONS crystal
Tc 0.6113 0.2225 0.0000
Tc 0.2777 0.5554 0.5000
Pd 0.6108 0.2216 0.3353
Pd 0.6108 0.2216 0.6647
Sn 0.2780 0.5560 0.8340
Sn 0.2780 0.5560 0.1660
CELL_PARAMETERS angstrom
3.0560 0.0000 0.0000
-1.5280 2.6479 0.0000
0.0000 0.0000 12.8055
```

---

No. 10
Material: Rb3In5Au3
Method: DFT, PBE-GGA
State: optimized geometry Values from VASP.

Values from the calculation:
energy	-2.561	eV/atom
SG	P-62m, No. 189

Cell and atoms, written as Quantum ESPRESSO input:
```
&SYSTEM
  ibrav = 0, nat = 11, ntyp = 3
/
ATOMIC_SPECIES
Rb 85.47 Rb.upf
In 114.82 In.upf
Au 196.97 Au.upf
ATOMIC_POSITIONS crystal
Rb 0.0000 0.6642 0.0000
Rb 0.0000 0.0000 0.6642
Rb 0.0000 0.3358 0.3358
In 0.5000 0.6667 0.3333
In 0.5000 0.3333 0.6667
In 0.5000 0.2733 0.0000
In 0.5000 0.7267 0.7267
In 0.5000 0.0000 0.2733
Au 0.5000 0.6383 0.0000
Au 0.5000 0.3617 0.3617
Au 0.5000 0.0000 0.6383
CELL_PARAMETERS angstrom
-1.9271 3.0977 5.7068
-7.8958 -3.2656 -0.8936
5.9768 -4.3487 4.3788
```

---

No. 11
Material: LiCeBiS4
Method: DFT, PBE-GGA
State: optimized geometry Values from VASP.

Values from the calculation:
SG	Imma, No. 74
formation energy without anion corrections	-1.17	eV per atom

Cell and atoms, written as Quantum ESPRESSO input:
```
&SYSTEM
  ibrav = 0, nat = 14, ntyp = 4
/
ATOMIC_SPECIES
Li 6.94 Li.upf
Ce 140.12 Ce.upf
Bi 208.98 Bi.upf
S 32.06 S.upf
ATOMIC_POSITIONS crystal
Li 0.6270 0.6230 0.1230
Li 0.3730 0.3770 0.8770
Ce 0.0000 0.0000 0.0000
Ce 0.0000 0.5000 0.5000
Bi 0.5000 0.0000 0.5000
Bi 0.0000 0.0000 0.5000
S 0.7614 0.7446 0.7326
S 0.2386 0.7674 0.7554
S 0.7614 0.2326 0.2446
S 0.2386 0.2554 0.2674
S 0.2290 0.7519 0.2519
S 0.7673 0.7519 0.2519
S 0.2327 0.2481 0.7481
S 0.7710 0.2481 0.7481
CELL_PARAMETERS angstrom
-5.5632 3.2111 -4.7576
-2.9666 -4.3015 -6.1494
-7.6101 -2.6555 0.3914
```

---

No. 12
Material: Er6Sb2PbSe3
Method: DFT, PBE-GGA
State: optimized geometry Values from VASP.

Values from the calculation:
SG	C2/m, No. 12
formation energy without anion corrections	-1.29	eV per atom

Cell and atoms, written as Quantum ESPRESSO input:
```
&SYSTEM
  ibrav = 0, nat = 12, ntyp = 4
/
ATOMIC_SPECIES
Er 167.26 Er.upf
Sb 121.76 Sb.upf
Pb 207.20 Pb.upf
Se 78.96 Se.upf
ATOMIC_POSITIONS crystal
Er 0.3316 0.9232 0.6632
Er 0.6650 0.5885 0.3299
Er 0.6684 0.0768 0.3368
Er 0.9973 0.2552 0.9945
Er 0.0027 0.7448 0.0055
Er 0.3350 0.4115 0.6701
Sb 0.8334 0.6667 0.6667
Sb 0.1666 0.3333 0.3333
Pb 0.5000 0.0000 0.0000
Se 0.5000 0.5000 0.0000
Se 0.8322 0.1675 0.6644
Se 0.1678 0.8325 0.3356
CELL_PARAMETERS angstrom
4.2272 0.0000 0.0000
0.0000 8.4122 0.3361
-2.1136 -2.3914 8.8565
```

---

No. 13
Material: LuPuTcRh
Method: DFT, PBE-GGA
State: optimized geometry Values from VASP.

Values from the calculation:
energy	-9.507	eV/atom
SG	F-43m, No. 216

Cell and atoms, written as Quantum ESPRESSO input:
```
&SYSTEM
  ibrav = 0, nat = 4, ntyp = 4
/
ATOMIC_SPECIES
Lu 174.97 Lu.upf
Rh 102.91 Rh.upf
Tc 98.00 Tc.upf
Pu 244.00 Pu.upf
ATOMIC_POSITIONS crystal
Lu 0.0000 0.0000 0.0000
Rh 0.7500 0.7500 0.7500
Tc 0.2500 0.2500 0.2500
Pu 0.5000 0.5000 0.5000
CELL_PARAMETERS angstrom
4.7643 0.0000 0.0000
2.3821 4.1260 0.0000
2.3821 1.3753 3.8900
```

---

No. 14
Material: LaTbPr2As4
Method: DFT, PBE-GGA
State: optimized geometry Values from VASP.

Values from the calculation:
energy	-6.233	eV/atom
SG	P2/m, No. 10

Cell and atoms, written as Quantum ESPRESSO input:
```
&SYSTEM
  ibrav = 0, nat = 8, ntyp = 4
/
ATOMIC_SPECIES
La 138.91 La.upf
Tb 158.93 Tb.upf
Pr 140.91 Pr.upf
As 74.92 As.upf
ATOMIC_POSITIONS crystal
La 0.5000 0.5000 0.0000
Tb 0.0000 0.5000 0.5000
Pr 0.0000 0.0000 0.0000
Pr 0.5000 0.0000 0.5000
As 0.0000 0.7479 0.7452
As 0.0000 0.2521 0.2548
As 0.5000 0.7440 0.2573
As 0.5000 0.2560 0.7427
CELL_PARAMETERS angstrom
4.2874 0.0000 0.0000
0.0000 7.4182 -0.1499
0.0000 2.6071 6.9435
```

---

No. 15
Material: CaCu3Ni2
Method: DFT, PBE-GGA
State: optimized geometry Values from VASP.

Values from the calculation:
energy	-4.240	eV/atom
SG	R-3m, No. 166

Cell and atoms, written as Quantum ESPRESSO input:
```
&SYSTEM
  ibrav = 0, nat = 12, ntyp = 3
/
ATOMIC_SPECIES
Ca 40.08 Ca.upf
Cu 63.55 Cu.upf
Ni 58.69 Ni.upf
ATOMIC_POSITIONS crystal
Ca 0.7995 0.7995 0.6014
Ca 0.2005 0.2005 0.3986
Cu 0.2511 0.7549 0.2390
Cu 0.7549 0.2511 0.2390
Cu 0.7549 0.7549 0.2390
Cu 0.2451 0.7489 0.7610
Cu 0.7489 0.2451 0.7610
Cu 0.2451 0.2451 0.7610
Ni 0.0000 0.0000 0.0000
Ni 0.0000 0.5000 0.0000
Ni 0.5000 0.5000 0.0000
Ni 0.5000 0.0000 0.0000
CELL_PARAMETERS angstrom
5.0357 0.0000 0.0000
2.5178 4.3610 0.0000
2.5178 1.4537 8.4518
```

---

No. 16
Material: Sn2CI
Method: DFT, PBE-GGA
State: optimized geometry Values from VASP.

Values from the calculation:
SG	Fm-3m, No. 225
formation energy without anion corrections	1.51	eV per atom

Cell and atoms, written as Quantum ESPRESSO input:
```
&SYSTEM
  ibrav = 0, nat = 4, ntyp = 3
/
ATOMIC_SPECIES
I 126.90 I.upf
C 12.01 C.upf
Sn 118.71 Sn.upf
ATOMIC_POSITIONS crystal
I 0.5000 0.5000 0.5000
C 0.0000 0.0000 0.0000
Sn 0.2500 0.2500 0.2500
Sn 0.7500 0.7500 0.7500
CELL_PARAMETERS angstrom
-3.7018 -2.9081 -2.1036
-4.9252 0.7288 1.3405
-3.3081 2.0754 -3.3667
```

---

No. 17
Material: Ho8ErTh2
Method: DFT, PBE-GGA
State: optimized geometry Values from VASP.

Values from the calculation:
energy	-4.907	eV/atom
SG	C2/m, No. 12

Cell and atoms, written as Quantum ESPRESSO input:
```
&SYSTEM
  ibrav = 0, nat = 11, ntyp = 3
/
ATOMIC_SPECIES
Ho 164.93 Ho.upf
Th 232.04 Th.upf
Er 167.26 Er.upf
ATOMIC_POSITIONS crystal
Ho 0.5976 0.1737 0.8273
Ho 0.4024 0.3465 0.1727
Ho 0.8161 0.1984 0.3969
Ho 0.1839 0.8016 0.6031
Ho 0.5976 0.6535 0.8273
Ho 0.4024 0.8263 0.1727
Ho 0.0965 0.4097 0.8194
Ho 0.9035 0.5903 0.1806
Th 0.3352 0.2474 0.4948
Th 0.6648 0.7526 0.5052
Er 0.0000 0.0000 0.0000
CELL_PARAMETERS angstrom
6.4097 0.2423 -1.5519
-0.9687 5.6957 -3.1115
0.6252 1.1538 8.8370
```

---

No. 18
Material: La2GaSn
Method: DFT, PBE-GGA
State: optimized geometry Values from VASP.

Values from the calculation:
energy	-4.864	eV/atom
SG	P4/mmm, No. 123

Cell and atoms, written as Quantum ESPRESSO input:
```
&SYSTEM
  ibrav = 0, nat = 4, ntyp = 3
/
ATOMIC_SPECIES
Sn 118.71 Sn.upf
Ga 69.72 Ga.upf
La 138.91 La.upf
ATOMIC_POSITIONS crystal
Sn 0.5000 0.5000 0.5000
Ga 0.5000 0.0000 0.0000
La 0.0000 0.0000 0.5000
La 0.0000 0.5000 0.0000
CELL_PARAMETERS angstrom
-1.4628 -2.2666 3.4928
2.7675 -4.0226 -1.4513
3.9290 1.7092 2.7547
```

---

No. 19
Material: Bi5Pb12Au2
Method: DFT, PBE-GGA
State: optimized geometry Values from VASP.

Values from the calculation:
energy	-3.669	eV/atom
SG	C2/m, No. 12

Cell and atoms, written as Quantum ESPRESSO input:
```
&SYSTEM
  ibrav = 0, nat = 19, ntyp = 3
/
ATOMIC_SPECIES
Bi 208.98 Bi.upf
Pb 207.20 Pb.upf
Au 196.97 Au.upf
ATOMIC_POSITIONS crystal
Bi 0.7716 0.7499 0.5431
Bi 0.7327 0.2427 0.4654
Bi 0.0000 0.5000 0.0000
Bi 0.2673 0.7573 0.5346
Bi 0.2284 0.2501 0.4569
Pb 0.0502 0.1887 0.1004
Pb 0.4084 0.9318 0.3035
Pb 0.8951 0.9318 0.3035
Pb 0.4085 0.5080 0.2948
Pb 0.8862 0.5080 0.2948
Pb 0.5083 0.7014 0.0166
Pb 0.4917 0.2986 0.9834
Pb 0.5915 0.4920 0.7052
Pb 0.1138 0.4920 0.7052
Pb 0.5916 0.0682 0.6965
Pb 0.1049 0.0682 0.6965
Pb 0.9498 0.8113 0.8996
Au 0.6908 0.0000 0.0000
Au 0.3092 0.0000 0.0000
CELL_PARAMETERS angstrom
6.5613 0.0000 -2.7807
-0.4896 9.1414 -1.1552
0.3643 -0.2273 9.9909
```

---

No. 20
Material: Mn2VNi
Method: DFT, PBE-GGA
State: optimized geometry Values from VASP.

Values from the calculation:
energy	-8.422	eV/atom
SG	Fm-3m, No. 225

Cell and atoms, written as Quantum ESPRESSO input:
```
&SYSTEM
  ibrav = 0, nat = 4, ntyp = 3
/
ATOMIC_SPECIES
Ni 58.69 Ni.upf
Mn 54.94 Mn.upf
V 50.94 V.upf
ATOMIC_POSITIONS crystal
Ni 0.5000 0.5000 0.5000
Mn 0.2500 0.2500 0.2500
Mn 0.7500 0.7500 0.7500
V 0.0000 0.0000 0.0000
CELL_PARAMETERS angstrom
4.1122 0.0000 0.0000
2.0561 3.5613 0.0000
2.0561 1.1871 3.3576
```